YUCu2O8 PBE optimized geometry; calculated total energy = -86.32 eV per cell; E_form (uncorrected) = -1726 meV/atom; size of the total moment = 0.243 μB per atom; symmetry = I-4m2, No. 119
1.0
-3.448 3.448 3.342
3.448 -3.448 3.342
3.448 3.448 -3.342
Y U Cu O
1 1 2 8
direct
0.000 0.000 0.000
0.250 0.750 0.500
0.500 0.500 0.000
0.750 0.250 0.500
0.302 0.106 0.804
0.302 0.499 0.196
0.370 0.044 0.327
0.501 0.698 0.804
0.717 0.044 0.673
0.894 0.698 0.196
0.956 0.283 0.327
0.956 0.630 0.673